# 1
Computed, not measured: a relaxed ScCuOs crystal at the PBE level of DFT.

a = 4.423 Å, b = 4.423 Å, c = 2.813 Å
α = 90.00°, β = 90.00°, γ = 120.00°
Fractional positions:
1 Os 0.667 0.333 0.170
2 Sc 0.333 0.667 0.667
3 Cu 0.000 0.000 0.162

The value obtained for the total magnetization is 0.00 μB per atom. The calculation puts the uncorrected energy at -7.1942 eV/atom. The value obtained for the relative energy among the computed polymorphs is 32.5 kJ per mole of atoms. As for the space-group type: No. 156. For the formation energy, the calculation gives 24.9 meV/atom.


# 2
Computed, not measured: a relaxed ZrNbFe4 crystal at the PBE level of DFT.

a = 4.903 Å, b = 4.903 Å, c = 4.903 Å
α = 60.00°, β = 60.00°, γ = 60.00°
Fractional positions:
1 Zr 0.000 0.000 0.000
2 Nb 0.250 0.250 0.250
3 Fe 0.625 0.625 0.126
4 Fe 0.625 0.625 0.625
5 Fe 0.126 0.625 0.625
6 Fe 0.625 0.126 0.625

The value obtained for the total magnetization is 0.97 μB per atom. The calculation puts the uncorrected energy at -8.9355 eV/atom. As for the space-group type: No. 216. For the formation energy, the calculation gives -190.8 meV/atom.


# 3
Computed, not measured: a relaxed ScMo2Br crystal at the PBE level of DFT.

a = 3.197 Å, b = 3.269 Å, c = 7.670 Å
α = 77.79°, β = 90.00°, γ = 90.00°
Fractional positions:
1 Mo 0.500 0.197 0.232
2 Mo 0.000 0.783 0.057
3 Sc 0.000 0.577 0.474
4 Br 0.500 0.943 0.737

The value obtained for the total magnetization is 0.00 μB per atom. The value obtained for the uncorrected formation energy is -0.074 eV per atom. The calculation puts the uncorrected energy at -7.4903 eV/atom. The value obtained for the relative energy among the computed polymorphs is 0.0 kJ per mole of atoms. As for the space-group type: No. 6.


# 4
Computed, not measured: a relaxed Dy4Pa3N8 crystal at the PBE level of DFT.

a = 6.899 Å, b = 6.994 Å, c = 6.994 Å
α = 89.28°, β = 120.76°, γ = 120.76°
Fractional positions:
1 N 0.484 0.242 0.242
2 N 0.000 0.761 0.239
3 Dy 0.000 0.000 0.000
4 N 0.038 0.256 0.256
5 N 0.962 0.744 0.744
6 N 0.000 0.239 0.761
7 N 0.500 0.751 0.249
8 Dy 0.500 0.000 0.000
9 Dy 0.000 0.000 0.500
10 Pa 0.500 0.500 0.000
11 Dy 0.000 0.500 0.000
12 Pa 0.500 0.500 0.500
13 Pa 0.500 0.000 0.500
14 N 0.500 0.249 0.751
15 N 0.516 0.758 0.758

The value obtained for the total magnetization is 0.00 μB per atom. The value obtained for the uncorrected formation energy is -1.493 eV per atom. The calculation puts the uncorrected energy at -9.0593 eV/atom. As for the space-group type: No. 12.


# 5
Computed, not measured: a relaxed Pm2Al2Ga3 crystal at the PBE level of DFT.

a = 4.352 Å, b = 6.024 Å, c = 6.402 Å
α = 104.96°, β = 90.00°, γ = 111.18°
Fractional positions:
1 Pm 0.383 0.765 0.680
2 Pm 0.617 0.235 0.320
3 Al 0.903 0.806 0.323
4 Ga 0.724 0.448 0.846
5 Ga 0.000 0.000 0.000
6 Ga 0.276 0.552 0.154
7 Al 0.097 0.194 0.677

The value obtained for the total magnetization is 0.00 μB per atom. The calculation puts the uncorrected energy at -4.1965 eV/atom. The value obtained for the relative energy among the computed polymorphs is 4.5 kJ per mole of atoms. As for the space-group type: No. 12. For the formation energy, the calculation gives -472.6 meV/atom.


# 6
Computed, not measured: a relaxed Ta2Hg crystal at the PBE level of DFT.

a = 5.771 Å, b = 4.502 Å, c = 8.731 Å
α = 90.00°, β = 90.00°, γ = 90.00°
Fractional positions:
1 Hg 0.367 0.750 0.390
2 Ta 0.624 0.250 0.946
3 Hg 0.867 0.750 0.110
4 Ta 0.876 0.750 0.446
5 Ta 0.127 0.250 0.227
6 Ta 0.373 0.750 0.727
7 Ta 0.873 0.750 0.773
8 Ta 0.124 0.250 0.554
9 Hg 0.133 0.250 0.890
10 Ta 0.376 0.750 0.054
11 Ta 0.627 0.250 0.273
12 Hg 0.633 0.250 0.610

The value obtained for the total magnetization is 0.00 μB per atom. The calculation puts the uncorrected energy at -7.6769 eV/atom. As for the space-group type: No. 62. For the formation energy, the calculation gives 325.5 meV/atom.


# 7
Computed, not measured: a relaxed CaDyI6 crystal at the PBE level of DFT.

a = 7.696 Å, b = 7.692 Å, c = 8.093 Å
α = 61.11°, β = 61.55°, γ = 59.94°
Fractional positions:
1 I 0.920 0.567 0.254
2 Ca 0.000 0.000 0.000
3 I 0.264 0.921 0.248
4 Dy 0.500 0.500 0.500
5 I 0.430 0.738 0.749
6 I 0.080 0.433 0.746
7 I 0.570 0.262 0.251
8 I 0.736 0.079 0.752

The value obtained for the total magnetization is 0.00 μB per atom. The value obtained for the uncorrected formation energy is -1.159 eV per atom. The calculation puts the uncorrected energy at -3.1474 eV/atom. As for the space-group type: No. 2.


# 8
Computed, not measured: a relaxed Al3TeOs crystal at the PBE level of DFT.

a = 4.822 Å, b = 4.822 Å, c = 4.822 Å
α = 90.00°, β = 90.00°, γ = 90.00°
Fractional positions:
1 Os 0.000 0.000 0.000
2 Al 0.000 0.500 0.000
3 Te 0.500 0.500 0.500
4 Al 0.500 0.000 0.000
5 Al 0.000 0.000 0.500

The value obtained for the total magnetization is 0.00 μB per atom. The value obtained for the uncorrected formation energy is 0.153 eV per atom. The calculation puts the uncorrected energy at -4.9668 eV/atom. The value obtained for the relative energy among the computed polymorphs is 0.0 kJ per mole of atoms. As for the space-group type: No. 221.


# 9
Computed, not measured: a relaxed Re4NiCl crystal at the PBE level of DFT.

a = 5.206 Å, b = 5.206 Å, c = 5.206 Å
α = 60.00°, β = 60.00°, γ = 60.00°
Fractional positions:
1 Re 0.375 0.375 0.375
2 Re 0.375 0.874 0.375
3 Re 0.375 0.375 0.874
4 Cl 0.750 0.750 0.750
5 Ni 0.000 0.000 0.000
6 Re 0.874 0.375 0.375

The value obtained for the total magnetization is 0.00 μB per atom. The value obtained for the uncorrected formation energy is 1.242 eV per atom. The calculation puts the uncorrected energy at -8.3283 eV/atom. As for the space-group type: No. 216.


# 10
Computed, not measured: a relaxed Ca2InAgHg6 crystal at the PBE level of DFT.

a = 7.918 Å, b = 7.669 Å, c = 8.806 Å
α = 64.30°, β = 43.09°, γ = 94.08°
Fractional positions:
1 Hg 0.357 0.130 0.013
2 Ca 0.731 0.065 0.513
3 Hg 0.983 0.412 0.718
4 Ca 0.269 0.935 0.487
5 Hg 0.017 0.588 0.282
6 Hg 0.365 0.572 0.730
7 In 0.000 0.000 0.000
8 Ag 0.500 0.500 0.000
9 Hg 0.643 0.870 0.987
10 Hg 0.635 0.428 0.270

The value obtained for the total magnetization is 0.00 μB per atom. The calculation puts the uncorrected energy at -1.3869 eV/atom. As for the space-group type: No. 2. For the formation energy, the calculation gives -246.6 meV/atom.


# 11
Computed, not measured: a relaxed AgW crystal at the PBE level of DFT.

a = 4.864 Å, b = 4.864 Å, c = 4.864 Å
α = 129.64°, β = 129.64°, γ = 73.99°
Fractional positions:
1 W 0.500 0.500 0.000
2 W 0.250 0.750 0.500
3 Ag 0.000 0.000 0.000
4 Ag 0.750 0.250 0.500

The value obtained for the total magnetization is 0.00 μB per atom. The calculation puts the uncorrected energy at -7.1334 eV/atom. The value obtained for the relative energy among the computed polymorphs is 41.1 kJ per mole of atoms. As for the space-group type: No. 141. For the formation energy, the calculation gives 768.8 meV/atom.


# 12
Computed, not measured: a relaxed K2CuHg crystal at the PBE level of DFT.

a = 5.616 Å, b = 5.616 Å, c = 5.616 Å
α = 60.00°, β = 60.00°, γ = 60.00°
Fractional positions:
1 K 0.000 0.000 0.000
2 Hg 0.750 0.750 0.750
3 Cu 0.500 0.500 0.500
4 K 0.250 0.250 0.250

The value obtained for the total magnetization is 0.00 μB per atom. The calculation puts the uncorrected energy at -1.4552 eV/atom. As for the space-group type: No. 216. For the formation energy, the calculation gives 193.1 meV/atom.


# 13
Computed, not measured: a relaxed BaZrZn4 crystal at the PBE level of DFT.

a = 5.566 Å, b = 5.566 Å, c = 5.566 Å
α = 60.00°, β = 60.00°, γ = 60.00°
Fractional positions:
1 Zn 0.378 0.865 0.378
2 Zn 0.865 0.378 0.378
3 Zn 0.378 0.378 0.865
4 Ba 0.000 0.000 0.000
5 Zn 0.378 0.378 0.378
6 Zr 0.750 0.750 0.750

The value obtained for the total magnetization is 0.00 μB per atom. The calculation puts the uncorrected energy at -2.5853 eV/atom. As for the space-group type: No. 216. For the formation energy, the calculation gives 9.2 meV/atom.


# 14
Computed, not measured: a relaxed CdHgH6Ir2 crystal at the PBE level of DFT.

a = 7.380 Å, b = 7.380 Å, c = 4.838 Å
α = 99.72°, β = 99.72°, γ = 118.02°
Fractional positions:
1 H 0.711 0.707 0.849
2 Ir 0.706 0.887 0.159
3 H 0.354 0.499 0.484
4 H 0.501 0.646 0.016
5 H 0.499 0.354 0.984
6 H 0.870 0.527 0.815
7 Ir 0.113 0.294 0.341
8 H 0.130 0.473 0.185
9 Ir 0.294 0.113 0.841
10 H 0.707 0.711 0.349
11 Cd 0.715 0.285 0.250
12 H 0.527 0.870 0.315
13 H 0.473 0.130 0.685
14 H 0.293 0.289 0.651
15 Ir 0.887 0.706 0.659
16 Cd 0.285 0.715 0.750
17 H 0.646 0.501 0.516
18 H 0.289 0.293 0.151
19 Hg 0.115 0.885 0.250
20 Hg 0.885 0.115 0.750

The value obtained for the total magnetization is 0.00 μB per atom. The calculation puts the uncorrected energy at -3.8187 eV/atom. As for the space-group type: No. 15.


# 15
Computed, not measured: a relaxed KNiMoS3 crystal at the PBE level of DFT.

a = 3.602 Å, b = 8.205 Å, c = 9.131 Å
α = 114.58°, β = 90.00°, γ = 90.00°
Fractional positions:
1 S 0.250 0.780 0.451
2 S 0.750 0.888 0.142
3 Mo 0.750 0.297 0.827
4 S 0.750 0.220 0.549
5 S 0.750 0.473 0.133
6 S 0.250 0.527 0.867
7 K 0.750 0.757 0.743
8 Ni 0.750 0.912 0.392
9 Ni 0.250 0.088 0.608
10 K 0.250 0.243 0.257
11 S 0.250 0.112 0.858
12 Mo 0.250 0.703 0.173

The value obtained for the total magnetization is 0.16 μB per atom. The value obtained for the uncorrected formation energy is -0.748 eV per atom. The calculation puts the uncorrected energy at -5.7629 eV/atom. As for the space-group type: No. 11.


# 16
Computed, not measured: a relaxed Tb8Er5In crystal at the PBE level of DFT.

a = 8.380 Å, b = 8.380 Å, c = 8.380 Å
α = 110.18°, β = 108.05°, γ = 110.18°
Fractional positions:
1 Tb 0.653 0.395 0.915
2 In 0.250 0.500 0.750
3 Tb 0.163 0.727 0.069
4 Tb 0.741 0.262 0.347
5 Er 0.288 0.104 0.980
6 Er 0.500 0.000 0.500
7 Tb 0.564 0.905 0.837
8 Tb 0.341 0.273 0.436
9 Er 0.876 0.896 0.185
10 Er 0.815 0.692 0.712
11 Tb 0.085 0.738 0.480
12 Er 0.020 0.308 0.124
13 Tb 0.931 0.095 0.659
14 Tb 0.520 0.605 0.259

The value obtained for the total magnetization is 0.00 μB per atom. The calculation puts the uncorrected energy at -4.2840 eV/atom. As for the space-group type: No. 82. For the formation energy, the calculation gives 187.1 meV/atom.


# 17
Computed, not measured: a relaxed KCo3Pd crystal at the PBE level of DFT.

a = 4.376 Å, b = 4.376 Å, c = 4.376 Å
α = 90.00°, β = 90.00°, γ = 90.00°
Fractional positions:
1 Co 0.000 0.000 0.500
2 Co 0.000 0.500 0.000
3 K 0.000 0.000 0.000
4 Co 0.500 0.000 0.000
5 Pd 0.500 0.500 0.500

The value obtained for the total magnetization is 0.93 μB per atom. The calculation puts the uncorrected energy at -3.2011 eV/atom. The value obtained for the relative energy among the computed polymorphs is 112.0 kJ per mole of atoms. As for the space-group type: No. 221. For the formation energy, the calculation gives 2320.5 meV/atom.


# 18
Computed, not measured: a relaxed SrY4Mn crystal at the PBE level of DFT.

a = 6.617 Å, b = 6.617 Å, c = 6.617 Å
α = 60.00°, β = 60.00°, γ = 60.00°
Fractional positions:
1 Y 0.377 0.870 0.377
2 Sr 0.000 0.000 0.000
3 Y 0.377 0.377 0.377
4 Y 0.377 0.377 0.870
5 Mn 0.750 0.750 0.750
6 Y 0.870 0.377 0.377

The value obtained for the total magnetization is 0.79 μB per atom. The calculation puts the uncorrected energy at -5.5621 eV/atom. As for the space-group type: No. 216. For the formation energy, the calculation gives 555.8 meV/atom.


# 19
Computed, not measured: a relaxed RbThSbO5 crystal at the PBE level of DFT.

a = 6.617 Å, b = 6.617 Å, c = 8.409 Å
α = 104.54°, β = 104.54°, γ = 106.03°
Fractional positions:
1 Th 0.000 0.000 0.500
2 Sb 0.684 0.316 0.250
3 O 0.124 0.702 0.885
4 Rb 0.673 0.327 0.750
5 Th 0.000 0.000 0.000
6 O 0.385 0.236 0.098
7 Rb 0.327 0.673 0.250
8 O 0.939 0.061 0.750
9 O 0.876 0.298 0.115
10 O 0.764 0.615 0.402
11 O 0.236 0.385 0.598
12 O 0.702 0.124 0.385
13 O 0.298 0.876 0.615
14 O 0.061 0.939 0.250
15 Sb 0.316 0.684 0.750
16 O 0.615 0.764 0.902

The value obtained for the total magnetization is 0.00 μB per atom. The value obtained for the uncorrected formation energy is -2.313 eV per atom. The calculation puts the uncorrected energy at -6.9760 eV/atom. As for the space-group type: No. 15.


# 20
Computed, not measured: a relaxed BeAgCl2 crystal at the PBE level of DFT.

a = 10.732 Å, b = 10.732 Å, c = 10.732 Å
α = 16.89°, β = 16.89°, γ = 16.89°
Fractional positions:
1 Ag 0.000 0.000 0.000
2 Cl 0.126 0.126 0.126
3 Be 0.500 0.500 0.500
4 Cl 0.874 0.874 0.874

The value obtained for the total magnetization is 0.00 μB per atom. The value obtained for the uncorrected formation energy is -0.642 eV per atom. The calculation puts the uncorrected energy at -3.2101 eV/atom. The value obtained for the relative energy among the computed polymorphs is 0.0 kJ per mole of atoms. As for the space-group type: No. 166.